[1]
Density functional theory data (PBE) for an optimized crystal structure of BaCa2F7.

```
BaCa2F7
1.0
3.968 0.000 -0.764
-0.147 3.966 -0.764
-0.235 -0.243 9.474
Ba Ca F
1 2 7
Direct
0.000 0.000 0.000 Ba
0.673 0.673 0.345 Ca
0.327 0.327 0.655 Ca
0.106 0.606 0.213 F
0.394 0.894 0.787 F
0.606 0.106 0.213 F
0.500 0.500 0.000 F
0.750 0.250 0.500 F
0.894 0.394 0.787 F
0.250 0.750 0.500 F
```

Values from the calculation:
* magnetic moment: 1.090 μB/f.u.
* total DFT energy (no corrections): -5.3827 eV/atom
* raw formation energy: -3480 meV per atom
* mass density: 3.9 g/cm³
* SG: I4/mmm (139)


[2]
Density functional theory data (PBE) for an optimized crystal structure of Ba2Ca2F.

```
Ba2Ca2F
1.0
-5.099 2.977 -4.856
-5.352 -4.733 2.720
-1.895 5.075 5.102
Ca Ba F
4 4 2
Direct
0.165 0.665 0.500 Ca
0.665 0.835 0.500 Ca
0.835 0.335 0.500 Ca
0.335 0.165 0.500 Ca
0.307 0.807 0.000 Ba
0.807 0.693 0.000 Ba
0.693 0.193 0.000 Ba
0.193 0.307 0.000 Ba
0.000 0.000 0.000 F
0.500 0.500 0.000 F
```

Values from the calculation:
* magnetic moment: 0.000 μB/f.u.
* total DFT energy (no corrections): -2.8291 eV/atom
* raw formation energy: -885 meV per atom
* mass density: 2.9 g/cm³
* SG: P4/mbm (127)


[3]
Density functional theory data (PBE) for an optimized crystal structure of Ba2CaF8.

```
Ba2CaF8
1.0
4.221 0.000 -0.946
-0.247 4.605 -1.102
-0.023 -0.239 9.786
Ca Ba F
1 2 8
Direct
0.500 0.000 0.000 Ca
0.171 0.664 0.342 Ba
0.829 0.336 0.658 Ba
0.603 0.830 0.207 F
0.388 0.667 0.777 F
0.237 0.233 0.474 F
0.004 0.234 0.009 F
0.763 0.767 0.526 F
0.612 0.333 0.223 F
0.397 0.170 0.793 F
0.996 0.766 0.991 F
```

Values from the calculation:
* magnetic moment: 2.126 μB/f.u.
* total DFT energy (no corrections): -5.0298 eV/atom
* raw formation energy: -3137 meV per atom
* mass density: 4.1 g/cm³
* SG: C2/m (12)


[4]
Density functional theory data (PBE) for an optimized crystal structure of BaCaF.

```
BaCaF
1.0
12.210 0.000 0.000
0.000 8.529 0.000
0.000 0.000 3.981
Ca Ba F
4 4 4
Direct
0.500 0.000 0.500 Ca
0.000 0.500 0.500 Ca
0.000 0.000 0.500 Ca
0.500 0.500 0.500 Ca
0.250 0.250 0.000 Ba
0.250 0.750 0.000 Ba
0.750 0.250 0.000 Ba
0.750 0.750 0.000 Ba
0.389 0.000 0.000 F
0.611 0.000 0.000 F
0.889 0.500 0.000 F
0.111 0.500 0.000 F
```

Values from the calculation:
* magnetic moment: 0.001 μB/f.u.
* total DFT energy (no corrections): -3.7496 eV/atom
* raw formation energy: -1818 meV per atom
* mass density: 3.1 g/cm³
* SG: Cmmm (65)